No. 1
Compound: Pm2Mg2Cd15
Source: the Alexandria database
Functional: GGA-PBE
Structure: relaxed

Formation energy from the elements ... -158 meV/atom
Crystal system ... trigonal

abc: 10.0444 10.0444 15.0668
angles: 90.00 90.00 120.00
Space group R-3m (No. 166, hexagonal axes)
Asymmetric unit:
Pm (0.0000, 0.0000, 0.1672) [6 per cell]
Mg (0.0000, 0.0000, 0.3984) [6 per cell]
Cd (0.0000, 0.2958, 0.5000) [18 per cell]
Cd (0.0000, 0.5000, 0.0000) [9 per cell]
Cd (0.0126, 0.5063, 0.6447) [18 per cell]

No. 2
Compound: TlAsPb2
Source: the Alexandria database
Functional: GGA-PBE
Structure: relaxed

Relative energy among the computed polymorphs ... 0.013 eV/atom
Formation energy from the elements ... 37 meV/atom
Crystal system ... trigonal

abc: 4.0700 4.0700 25.9876
angles: 90.00 90.00 120.00
Space group R3m (No. 160, hexagonal axes)
Asymmetric unit:
Tl (0.0000, 0.0000, 0.0000) [3 per cell]
As (0.0000, 0.0000, 0.1672) [3 per cell]
Pb (0.0000, 0.0000, 0.5690) [3 per cell]
Pb (0.0000, 0.0000, 0.7655) [3 per cell]

No. 3
Compound: AcTmCuRh
Source: the Alexandria database
Functional: GGA-PBE
Structure: relaxed

Formation energy from the elements ... -390 meV/atom
Crystal system ... cubic

abc: 7.1859 7.1859 7.1859
angles: 90.00 90.00 90.00
Space group F-43m (No. 216)
Asymmetric unit:
Ac (0.0000, 0.0000, 0.0000) [4 per cell]
Tm (0.0000, 0.0000, 0.5000) [4 per cell]
Cu (0.2500, 0.2500, 0.2500) [4 per cell]
Rh (0.2500, 0.2500, 0.7500) [4 per cell]

No. 4
Compound: Dy2CuNi4As3
Source: the Alexandria database
Functional: GGA-PBE
Structure: relaxed

Formation energy from the elements ... -733 meV/atom
Crystal system ... tetragonal

abc: 4.0412 4.0412 9.6018
angles: 90.00 90.00 90.00
Space group P-4m2 (No. 115)
Asymmetric unit:
Dy (0.0000, 0.5000, 0.2491) [2 per cell]
Cu (0.0000, 0.0000, 0.5000) [1 per cell]
Ni (0.0000, 0.0000, 0.0000) [1 per cell]
Ni (0.0000, 0.5000, 0.6265) [2 per cell]
Ni (0.5000, 0.5000, 0.0000) [1 per cell]
As (0.0000, 0.5000, 0.8651) [2 per cell]
As (0.5000, 0.5000, 0.5000) [1 per cell]

No. 5
Compound: PuUGe2
Source: the Alexandria database
Functional: GGA-PBE
Structure: relaxed

Relative energy among the computed polymorphs ... 0.000 eV/atom
Formation energy from the elements ... -297 meV/atom
Crystal system ... tetragonal

abc: 4.5630 4.5630 4.1040
angles: 90.00 90.00 90.00
Space group P4/mmm (No. 123)
Asymmetric unit:
Pu (0.0000, 0.0000, 0.0000) [1 per cell]
U (0.5000, 0.5000, 0.0000) [1 per cell]
Ge (0.0000, 0.5000, 0.5000) [2 per cell]

No. 6
Compound: Pr5DySe6
Source: the Alexandria database
Functional: GGA-PBE
Structure: relaxed

Crystal system ... monoclinic
Raw formation energy ... -1.830 eV per atom

abc: 7.3373 12.7198 7.3255
angles: 90.00 109.56 90.00
Space group C2/m (No. 12)
Asymmetric unit:
Pr (0.0000, 0.0000, 0.0000) [2 per cell]
Pr (0.0000, 0.1676, 0.5000) [4 per cell]
Pr (0.0000, 0.3269, 0.0000) [4 per cell]
Dy (0.0000, 0.5000, 0.5000) [2 per cell]
Se (0.2401, 0.5000, 0.2525) [4 per cell]
Se (0.2420, 0.3390, 0.7424) [8 per cell]

For the records above, the corresponding DOS(E_F) values read 0.238, 0.606, 0.893, 0.558, 2.340, 0.419 states/eV per atom.
For the records above, the corresponding V values read 23.1, 31.1, 23.2, 15.7, 21.4, 26.8 Å³/atom.